Entry one
# BaScCl (GGA-PBE, optimized geometry)
data_BaScCl
_space_group_name_H-M_alt 'P 1'
_space_group_IT_number 1
_space_group_name_Hall 'P 1'
_cell_length_a 3.765
_cell_length_b 3.765
_cell_length_c 7.424
_cell_angle_alpha 90.00
_cell_angle_beta 90.00
_cell_angle_gamma 120.00
loop_
_atom_site_label
_atom_site_type_symbol
_atom_site_fract_x
_atom_site_fract_y
_atom_site_fract_z
Ba1 Ba 0.000 0.000 0.000
Sc1 Sc 0.333 0.667 0.598
Cl1 Cl 0.667 0.333 0.358
# DOS(E_F)   0.791 states/eV per atom
# Total moment   1.35 μB per formula unit


Entry two
# BaScCl (GGA-PBE, optimized geometry)
data_BaScCl
_space_group_name_H-M_alt 'P 1'
_space_group_IT_number 1
_space_group_name_Hall 'P 1'
_cell_length_a 3.960
_cell_length_b 6.239
_cell_length_c 14.930
_cell_angle_alpha 90.00
_cell_angle_beta 90.00
_cell_angle_gamma 90.00
loop_
_atom_site_label
_atom_site_type_symbol
_atom_site_fract_x
_atom_site_fract_y
_atom_site_fract_z
Ba1 Ba 0.000 0.000 0.000
Ba2 Ba 0.000 0.500 0.500
Ba3 Ba 0.500 0.000 0.500
Ba4 Ba 0.500 0.500 0.000
Sc1 Sc 0.000 0.000 0.695
Sc2 Sc 0.000 0.500 0.195
Sc3 Sc 0.500 0.000 0.195
Sc4 Sc 0.500 0.500 0.695
Cl1 Cl 0.000 0.000 0.320
Cl2 Cl 0.000 0.500 0.820
Cl3 Cl 0.500 0.000 0.820
Cl4 Cl 0.500 0.500 0.320
# DOS(E_F)   0.852 states/eV per atom
# Total moment   0.00 μB per formula unit


Stability check: which of them is least stable? entry two.


Entry one
# BaSe3Cl (GGA-PBE, optimized geometry)
data_BaSe3Cl
_space_group_name_H-M_alt 'P 1'
_space_group_IT_number 1
_space_group_name_Hall 'P 1'
_cell_length_a 5.184
_cell_length_b 5.184
_cell_length_c 5.184
_cell_angle_alpha 90.00
_cell_angle_beta 90.00
_cell_angle_gamma 90.00
loop_
_atom_site_label
_atom_site_type_symbol
_atom_site_fract_x
_atom_site_fract_y
_atom_site_fract_z
Ba1 Ba 0.000 0.000 0.000
Se1 Se 0.000 0.500 0.500
Se2 Se 0.500 0.000 0.500
Se3 Se 0.500 0.500 0.000
Cl1 Cl 0.500 0.500 0.500
# DOS(E_F)   0.548 states/eV per atom
# Total moment   0.00 μB per formula unit


Entry two
# BaSe3Cl (GGA-PBE, optimized geometry)
data_BaSe3Cl
_space_group_name_H-M_alt 'P 1'
_space_group_IT_number 1
_space_group_name_Hall 'P 1'
_cell_length_a 6.478
_cell_length_b 6.478
_cell_length_c 6.478
_cell_angle_alpha 90.00
_cell_angle_beta 90.00
_cell_angle_gamma 90.00
loop_
_atom_site_label
_atom_site_type_symbol
_atom_site_fract_x
_atom_site_fract_y
_atom_site_fract_z
Ba1 Ba 0.000 0.000 0.000
Se1 Se 0.000 0.000 0.500
Se2 Se 0.000 0.500 0.000
Se3 Se 0.500 0.000 0.000
Cl1 Cl 0.500 0.500 0.500
# DOS(E_F)   0.443 states/eV per atom
# Total moment   5.00 μB per formula unit


Stability check: which of them is least stable? entry two.


Entry one
# Ba2SeCl (GGA-PBE, optimized geometry)
data_Ba2SeCl
_space_group_name_H-M_alt 'P 1'
_space_group_IT_number 1
_space_group_name_Hall 'P 1'
_cell_length_a 4.110
_cell_length_b 4.144
_cell_length_c 8.398
_cell_angle_alpha 90.00
_cell_angle_beta 90.35
_cell_angle_gamma 90.00
loop_
_atom_site_label
_atom_site_type_symbol
_atom_site_fract_x
_atom_site_fract_y
_atom_site_fract_z
Ba1 Ba 0.002 0.000 0.223
Ba2 Ba 0.998 0.000 0.777
Se1 Se 0.500 0.500 0.000
Cl1 Cl 0.000 0.500 0.500
# DOS(E_F)   0.541 states/eV per atom
# Total moment   0.00 μB per formula unit


Entry two
# Ba2SeCl (GGA-PBE, optimized geometry)
data_Ba2SeCl
_space_group_name_H-M_alt 'P 1'
_space_group_IT_number 1
_space_group_name_Hall 'P 1'
_cell_length_a 4.633
_cell_length_b 4.633
_cell_length_c 6.527
_cell_angle_alpha 90.00
_cell_angle_beta 90.00
_cell_angle_gamma 90.00
loop_
_atom_site_label
_atom_site_type_symbol
_atom_site_fract_x
_atom_site_fract_y
_atom_site_fract_z
Ba1 Ba 0.000 0.000 0.000
Ba2 Ba 0.500 0.500 0.500
Se1 Se 0.000 0.000 0.500
Cl1 Cl 0.500 0.500 0.000
# DOS(E_F)   0.351 states/eV per atom
# Total moment   0.00 μB per formula unit


Entry three
# Ba2SeCl (GGA-PBE, optimized geometry)
data_Ba2SeCl
_space_group_name_H-M_alt 'P 1'
_space_group_IT_number 1
_space_group_name_Hall 'P 1'
_cell_length_a 4.659
_cell_length_b 4.659
_cell_length_c 22.438
_cell_angle_alpha 90.00
_cell_angle_beta 90.00
_cell_angle_gamma 120.00
loop_
_atom_site_label
_atom_site_type_symbol
_atom_site_fract_x
_atom_site_fract_y
_atom_site_fract_z
Ba1 Ba 0.000 0.000 0.247
Ba2 Ba 0.000 0.000 0.753
Ba3 Ba 0.333 0.667 0.420
Ba4 Ba 0.333 0.667 0.913
Ba5 Ba 0.667 0.333 0.087
Ba6 Ba 0.667 0.333 0.580
Se1 Se 0.000 0.000 0.500
Se2 Se 0.333 0.667 0.167
Se3 Se 0.667 0.333 0.833
Cl1 Cl 0.000 0.000 0.000
Cl2 Cl 0.333 0.667 0.667
Cl3 Cl 0.667 0.333 0.333
# DOS(E_F)   0.506 states/eV per atom
# Total moment   0.00 μB per formula unit


Stability check: which of them is least stable? entry one.